Computed, not measured: a relaxed GaTcPtN2 crystal at the PBE level of DFT.

Calculated values
Fermi-level density of states (states/eV per cell): 3.0
Uncorrected formation energy (eV/atom): 0.49

Lattice parameters (Å, degrees): 3.7623 3.7623 5.5428 90.00 90.00 90.00
Element x y z (fractional)
Ga  0.0000  0.0000  0.0000
Tc  0.5000  0.5000  0.5000
Pt  0.5000  0.5000  0.0000
N  0.0000  0.5000  0.5000
N  0.5000  0.0000  0.5000